No. 1
This record from the Alexandria database describes an optimized crystal structure of Nd6Ho2Er3Tl. The functional is PBE.

The calculation puts the magnetic moment at 0.000 μB per atom.

The space group is C2/m (No. 12) and the conventional cell measures 6.1942, 10.7548 and 11.7881 Å, with angles of 90.00, 100.21 and 90.00 degrees. The inequivalent atoms are Nd at (0.2453, 0.0000, 0.2494), Nd at (0.2471, 0.1643, 0.7492), Ho at (0.0000, 0.3337, 0.5000), Er at (0.0000, 0.1674, 0.0000), Er at (0.0000, 0.5000, 0.0000) and Tl at (0.0000, 0.0000, 0.5000).

***

No. 2
This record from the Alexandria database describes an optimized crystal structure of Nd4Ho2ErTm. The functional is PBE.

The calculation puts the magnetic moment at 0.000 μB per atom.

The space group is Pmmm (No. 47) and the conventional cell measures 5.1150, 5.1379 and 9.9881 Å, with angles of 90.00, 90.00 and 90.00 degrees. The inequivalent atoms are Nd at (0.0000, 0.0000, 0.2495), Nd at (0.5000, 0.5000, 0.2498), Ho at (0.0000, 0.5000, 0.0000), Ho at (0.5000, 0.0000, 0.5000), Er at (0.0000, 0.5000, 0.5000) and Tm at (0.5000, 0.0000, 0.0000).

***

No. 3
This record from the Alexandria database describes an optimized crystal structure of Nd4HoErTm2. The functional is PBE.

The calculation puts the magnetic moment at 0.000 μB per atom.

The space group is Pmmm (No. 47) and the conventional cell measures 5.1151, 5.1347 and 9.9532 Å, with angles of 90.00, 90.00 and 90.00 degrees. The inequivalent atoms are Nd at (0.0000, 0.0000, 0.2502), Nd at (0.5000, 0.5000, 0.2504), Ho at (0.0000, 0.5000, 0.0000), Er at (0.5000, 0.0000, 0.5000), Tm at (0.0000, 0.5000, 0.5000) and Tm at (0.5000, 0.0000, 0.0000).

***

No. 4
This record from the Alexandria database describes an optimized crystal structure of NdHo6ErTm2. The functional is PBE.

The calculation puts the magnetic moment at 0.000 μB per atom.

The space group is C2/c (No. 15) and the conventional cell measures 9.0747, 14.9019 and 9.4180 Å, with angles of 90.00, 96.29 and 90.00 degrees. The inequivalent atoms are Nd at (0.0000, 0.0281, 0.2500), Ho at (0.0621, 0.1843, 0.9432), Ho at (0.0980, 0.3898, 0.1168), Ho at (0.2112, 0.2264, 0.3178), Er at (0.0000, 0.4102, 0.7500) and Tm at (0.2470, 0.4475, 0.4519).

***

No. 5
This record from the Alexandria database describes an optimized crystal structure of Nd2Ho4ErTm. The functional is PBE.

The calculation puts the magnetic moment at 0.303 μB per atom.

The space group is C2/c (No. 15) and the conventional cell measures 13.5952, 13.2338 and 6.7840 Å, with angles of 90.00, 119.93 and 90.00 degrees. The inequivalent atoms are Nd at (0.0000, 0.0000, 0.0000), Nd at (0.2500, 0.2500, 0.0000), Ho at (0.9996, 0.2549, 0.0010), Ho at (0.2454, 0.4975, 0.4943), Er at (0.2500, 0.2500, 0.5000) and Tm at (0.0000, 0.5000, 0.0000).

***

No. 6
This record from the Alexandria database describes an optimized crystal structure of Nd6Ho3Er2Tm. The functional is PBE.

The calculation puts the magnetic moment at 0.000 μB per atom.

The space group is C2/m (No. 12) and the conventional cell measures 6.2497, 10.8220 and 11.7866 Å, with angles of 90.00, 100.14 and 90.00 degrees. The inequivalent atoms are Nd at (0.2503, 0.0000, 0.2495), Nd at (0.2499, 0.1666, 0.7507), Ho at (0.0000, 0.0000, 0.5000), Ho at (0.0000, 0.3333, 0.5000), Er at (0.0000, 0.1666, 0.0000) and Tm at (0.0000, 0.5000, 0.0000).

***

No. 7
This record from the Alexandria database describes an optimized crystal structure of NdHo2Er3Tm6. The functional is PBE.

The calculation puts the magnetic moment at 0.000 μB per atom.

The space group is C2/m (No. 12) and the conventional cell measures 6.0875, 10.5308 and 11.6345 Å, with angles of 90.00, 100.02 and 90.00 degrees. The inequivalent atoms are Nd at (0.0000, 0.0000, 0.0000), Ho at (0.0000, 0.3333, 0.0000), Er at (0.0000, 0.1669, 0.5000), Er at (0.0000, 0.5000, 0.5000), Tm at (0.2484, 0.3331, 0.7479) and Tm at (0.2494, 0.0000, 0.7480).

***

No. 8
This record from the Alexandria database describes an optimized crystal structure of NdHoErTm. The functional is PBE.

The calculation puts the magnetic moment at 0.000 μB per atom.

The space group is F-43m (No. 216) and the conventional cell measures 8.0024, 8.0024 and 8.0024 Å, with angles of 90.00, 90.00 and 90.00 degrees. The inequivalent atoms are Nd at (0.0000, 0.0000, 0.0000), Ho at (0.0000, 0.0000, 0.5000), Er at (0.2500, 0.2500, 0.7500) and Tm at (0.2500, 0.2500, 0.2500).

***

No. 9
This record from the Alexandria database describes an optimized crystal structure of Nd6Ho2Er3Tm. The functional is PBE.

The calculation puts the magnetic moment at 0.000 μB per atom.

The space group is C2/m (No. 12) and the conventional cell measures 6.2467, 10.8175 and 11.7805 Å, with angles of 90.00, 100.15 and 90.00 degrees. The inequivalent atoms are Nd at (0.2495, 0.0000, 0.2497), Nd at (0.2502, 0.1665, 0.7501), Ho at (0.0000, 0.3334, 0.5000), Er at (0.0000, 0.1666, 0.0000), Er at (0.0000, 0.5000, 0.0000) and Tm at (0.0000, 0.0000, 0.5000).

***

No. 10
This record from the Alexandria database describes an optimized crystal structure of Nd2HoEr3Tm6. The functional is PBE.

The calculation puts the magnetic moment at 0.000 μB per atom.

The space group is C2/m (No. 12) and the conventional cell measures 6.1151, 10.5806 and 11.6635 Å, with angles of 90.00, 100.04 and 90.00 degrees. The inequivalent atoms are Nd at (0.0000, 0.1667, 0.0000), Ho at (0.0000, 0.5000, 0.0000), Er at (0.0000, 0.0000, 0.5000), Er at (0.0000, 0.3335, 0.5000), Tm at (0.2478, 0.5000, 0.7466) and Tm at (0.2489, 0.1663, 0.7468).

***

No. 11
This record from the Alexandria database describes an optimized crystal structure of NdHoEr2Tm. The functional is PBE.

The calculation puts the magnetic moment at 0.000 μB per atom.

The space group is Cmcm (No. 63) and the conventional cell measures 8.3406, 11.3973 and 7.1748 Å, with angles of 90.00, 90.00 and 90.00 degrees. The inequivalent atoms are Nd at (0.0000, 0.2286, 0.2500), Ho at (0.0000, 0.4990, 0.7500), Er at (0.1897, 0.0000, 0.0000) and Tm at (0.0000, 0.2200, 0.7500).

***

No. 12
This record from the Alexandria database describes an optimized crystal structure of Nd6Ho3ErTm2. The functional is PBE.

The calculation puts the magnetic moment at 0.000 μB per atom.

The space group is C2/m (No. 12) and the conventional cell measures 6.2474, 10.8187 and 11.7778 Å, with angles of 90.00, 100.15 and 90.00 degrees. The inequivalent atoms are Nd at (0.2497, 0.0000, 0.2491), Nd at (0.2501, 0.1668, 0.7510), Ho at (0.0000, 0.0000, 0.5000), Ho at (0.0000, 0.3332, 0.5000), Er at (0.0000, 0.5000, 0.0000) and Tm at (0.0000, 0.1666, 0.0000).

***

Ρ values, unit g cm⁻³, following the record order: 8.17 7.86 7.92 8.60 8.07 7.89 9.00 8.36 7.91 8.80 7.91 7.91.
Calculated total energy values, unit eV/atom, following the record order: -4.493 -4.640 -4.626 -4.452 -4.180 -4.649 -4.513 -4.475 -4.647 -4.528 -4.202 -4.641.
Density of states at the Fermi level values, unit states/eV/f.u., following the record order: 13.5 10.6 10.6 14.9 17.8 12.6 16.5 6.6 12.6 16.4 6.7 12.5.